Entry 1:
PRhCS2 after structural relaxation. Source: Alexandria, functional PBE-GGA.

Structure (POSCAR):
```
PRhCS2
1.0
4.079 0.000 0.000
0.000 4.079 0.000
0.000 0.000 3.911
P S Rh C
1 2 1 1
Cartesian
0.000 0.000 1.956 P
0.000 2.040 0.000 S
2.040 0.000 0.000 S
2.040 2.040 1.956 Rh
0.000 0.000 0.000 C
```

The total magnetization is 0.0 Bohr magnetons per cell. The value obtained for the raw total energy is -24.52 eV/cell. The crystal system is tetragonal.

---

Entry 2:
PRhCS2 after structural relaxation. Source: Alexandria, functional PBE-GGA.

Structure (POSCAR):
```
PRhCS2
1.0
4.769 0.000 0.000
0.000 4.769 0.000
0.000 0.000 4.392
Rh S C P
1 2 1 1
Cartesian
0.000 0.000 0.000 Rh
2.385 0.000 0.000 S
0.000 2.385 0.000 S
2.385 2.385 2.196 C
0.000 0.000 2.196 P
```

The total magnetization is 0.2 Bohr magnetons per cell. The value obtained for the raw total energy is -20.98 eV/cell. The crystal system is tetragonal.

---

Entry 3:
P2RhCS after structural relaxation. Source: Alexandria, functional PBE-GGA.

Structure (POSCAR):
```
P2RhCS
1.0
3.900 0.000 0.000
0.000 3.900 0.000
0.000 0.000 4.197
C P Rh S
1 2 1 1
Cartesian
0.000 0.000 0.000 C
1.950 0.000 0.000 P
0.000 1.950 0.000 P
1.950 1.950 2.098 Rh
0.000 0.000 2.098 S
```

The total magnetization is 0.0 Bohr magnetons per cell. The value obtained for the raw total energy is -26.53 eV/cell. The crystal system is tetragonal.

---

Entry 4:
PRh2CS after structural relaxation. Source: Alexandria, functional PBE-GGA.

Structure (POSCAR):
```
PRh2CS
1.0
4.400 0.000 0.000
0.000 4.463 0.000
0.000 0.000 4.400
C P Rh S
1 1 2 1
Cartesian
2.200 2.232 2.200 C
0.000 0.000 0.000 P
2.200 0.000 0.000 Rh
0.000 0.000 2.200 Rh
0.000 2.232 0.000 S
```

The total magnetization is 1.0 Bohr magnetons per cell. The value obtained for the raw total energy is -24.96 eV/cell. The crystal system is tetragonal.

---

Entry 5:
P2RhCS after structural relaxation. Source: Alexandria, functional PBE-GGA.

Structure (POSCAR):
```
P2RhCS
1.0
-0.195 3.980 1.995
-3.370 1.172 -2.669
-3.230 -1.805 3.286
P C S Rh
2 1 1 1
Cartesian
-0.098 1.990 0.997 P
-1.685 0.586 -1.334 P
-3.398 1.673 1.306 C
-1.615 -0.903 1.643 S
0.000 0.000 0.000 Rh
```

The total magnetization is 0.4 Bohr magnetons per cell. The value obtained for the raw total energy is -22.16 eV/cell. The crystal system is tetragonal.

---

Entry 6:
SiPRhC after structural relaxation. Source: Alexandria, functional PBE-GGA.

Structure (POSCAR):
```
SiPRhC
1.0
-0.053 1.405 2.805
-0.394 -3.106 -0.206
6.307 -0.836 0.538
C Rh Si P
1 1 1 1
Cartesian
3.730 -0.615 2.133 C
1.533 -0.324 1.946 Rh
4.014 -2.171 1.164 Si
0.074 -1.649 0.827 P
```

The total magnetization is 0.0 Bohr magnetons per cell. The value obtained for the raw total energy is -28.00 eV/cell. The crystal system is trigonal.

---

| no. | E_form (uncorrected) (eV per formula unit) |
| --- | --- |
| 1 | 5.7 |
| 2 | 9.3 |
| 3 | 5.0 |
| 4 | 8.5 |
| 5 | 9.4 |
| 6 | -0.6 |